# U3Ni2P4

Crystalline U3Ni2P4 at its relaxed geometry (GGA-PBE, Alexandria via LeMat-Bulk).

Output
ΔE_f, eV/atom: -0.71
DFT total energy, eV/atom: -8.17
Offset from the most stable computed form, meV/atom: 165

Cell lengths 10.1437, 3.9376, 7.6917 Å; angles 90.00, 101.20, 90.00 degrees
Space group C2/m (No. 12)
Symmetry-distinct sites (fractional):
1 U 0.0000 0.0000 0.0000 x2
2 U 0.1624 0.5000 0.6767 x4
3 Ni 0.1116 0.5000 0.2862 x4
4 P 0.0672 0.0000 0.3906 x4
5 P 0.2175 0.5000 0.0627 x4